#A
A geometry-optimized ErTmHg structure, computed with PBE-GGA.

Output
As for the space group: No. 107. The density of states at the Fermi level is 2.75 states/eV per cell. The calculation puts the spin magnetization at 1.2 μB/cell.

The structure in CIF format:
```
data_ErTmHg
_space_group_name_H-M_alt 'P 1'
_space_group_IT_number 1
_space_group_name_Hall 'P 1'
_cell_length_a 3.565
_cell_length_b 3.565
_cell_length_c 6.864
_cell_angle_alpha 105.05
_cell_angle_beta 105.05
_cell_angle_gamma 90.00
loop_
_atom_site_label
_atom_site_type_symbol
_atom_site_fract_x
_atom_site_fract_y
_atom_site_fract_z
Tm1 Tm 0.321 0.321 0.641
Hg1 Hg 0.668 0.668 0.335
Er1 Er 0.012 0.012 0.023
```

=====

#B
A geometry-optimized ErTmHg structure, computed with PBE-GGA.

Output
As for the space group: No. 156. The density of states at the Fermi level is 3.30 states/eV per cell. The calculation puts the spin magnetization at 0.0 μB/cell.

The structure in CIF format:
```
data_ErTmHg
_space_group_name_H-M_alt 'P 1'
_space_group_IT_number 1
_space_group_name_Hall 'P 1'
_cell_length_a 3.629
_cell_length_b 5.098
_cell_length_c 5.098
_cell_angle_alpha 120.00
_cell_angle_beta 90.00
_cell_angle_gamma 90.00
loop_
_atom_site_label
_atom_site_type_symbol
_atom_site_fract_x
_atom_site_fract_y
_atom_site_fract_z
Tm1 Tm 0.076 0.000 0.000
Hg1 Hg 0.319 0.333 0.667
Er1 Er 0.605 0.667 0.333
```

=====

Relative energies, unit meV/atom: #A 0; #B 121